No. 1
Entry from the Alexandria database: an optimized crystal structure of Pm4NbGe5 (PBE).

Summary:
N(E_F) = 5.904 states/eV/cell
formation energy from the elements = -0.582 eV per atom
magnetic moment = 0.0 Bohr magnetons per cell

Unit cell a=5.8501 b=7.1519 c=7.1519 alpha=80.37 beta=65.86 gamma=65.86
Element x y z (fractional)
Ge: 0.9081 0.3698 0.8161
Ge: 0.2779 0.8161 0.6302
Ge: 0.7242 0.1839 0.3698
Ge: 0.5009 0.0000 0.0000
Ge: 0.0940 0.6302 0.1839
Pm: 0.8020 0.7915 0.6066
Pm: 0.2001 0.2085 0.3934
Pm: 0.5935 0.6066 0.2085
Pm: 0.4086 0.3934 0.7915
Nb: 0.0011 0.0000 0.0000

No. 2
Entry from the Alexandria database: an optimized crystal structure of BaTa2Re (PBE).

Summary:
N(E_F) = 2.459 states/eV/cell
formation energy from the elements = 0.549 eV per atom
energy above the most stable polymorph in this dataset = 45.7 meV/atom
magnetic moment = 0.0 Bohr magnetons per cell

Unit cell a=4.3826 b=4.3826 c=6.9896 alpha=71.84 beta=71.84 gamma=59.99
Element x y z (fractional)
Re: 0.7500 0.7500 0.7500
Ba: 0.2500 0.2500 0.2500
Ta: 0.0461 0.0461 0.8627
Ta: 0.4539 0.4539 0.6373

No. 3
Entry from the Alexandria database: an optimized crystal structure of CuSbMo2 (PBE).

Summary:
N(E_F) = 3.291 states/eV/cell
formation energy from raw total energies = 0.35 eV per atom
magnetic moment = 0.0 Bohr magnetons per cell

Unit cell a=3.3285 b=4.3705 c=5.7183 alpha=52.14 beta=90.00 gamma=90.00
Element x y z (fractional)
Sb: 0.5000 0.5000 0.5000
Mo: 0.5000 0.5000 0.0000
Mo: 0.0000 0.0000 0.0000
Cu: 0.0000 0.0000 0.5000

No. 4
Entry from the Alexandria database: an optimized crystal structure of Pr6YEr2Tm (PBE).

Summary:
N(E_F) = 29.197 states/eV/cell
formation energy from the elements = 0.114 eV per atom
magnetic moment = 0.0 Bohr magnetons per cell

Unit cell a=9.6714 b=9.0132 c=9.0132 alpha=117.90 beta=93.77 gamma=93.77
Element x y z (fractional)
Er: 0.5463 0.2008 0.2998
Er: 0.0463 0.2998 0.2008
Er: 0.9537 0.7002 0.7992
Er: 0.4537 0.7992 0.7002
Pr: 0.6172 0.4917 0.7077
Pr: 0.3100 0.9936 0.4370
Pr: 0.1172 0.7077 0.4917
Pr: 0.5530 0.7638 0.1178
Pr: 0.6900 0.0064 0.5630
Pr: 0.4470 0.2362 0.8822
Pr: 0.8828 0.2923 0.5083
Pr: 0.3828 0.5083 0.2923
Pr: 0.8100 0.4370 0.9936
Pr: 0.9470 0.8822 0.2362
Pr: 0.1900 0.5630 0.0064
Pr: 0.0530 0.1178 0.7638
Tm: 0.2500 0.4130 0.5870
Tm: 0.7500 0.5870 0.4130
Y: 0.7500 0.0270 0.9730
Y: 0.2500 0.9730 0.0270